Record 1
Material: LiMg3Bi2
Method: DFT, PBE
State: optimized geometry

E_form	-1.41	eV/f.u.

Unit cell a=4.459 b=4.472 c=8.097 alpha=105.57 beta=105.26 gamma=90.00
Sites, in units of the cell vectors:
Li 0.000 0.000 0.000
Mg 0.344 0.843 0.679
Mg 0.500 0.500 0.000
Mg 0.656 0.157 0.321
Bi 0.138 0.639 0.280
Bi 0.862 0.361 0.720

***

Record 2
Material: MnTc4Ru
Method: DFT, PBE
State: optimized geometry

E_form	2.20	eV/f.u.

Unit cell a=5.057 b=5.057 c=5.057 alpha=60.00 beta=60.00 gamma=60.00
Sites, in units of the cell vectors:
Mn 0.000 0.000 0.000
Tc 0.122 0.626 0.626
Tc 0.626 0.122 0.626
Tc 0.626 0.626 0.122
Tc 0.626 0.626 0.626
Ru 0.250 0.250 0.250

***

Record 3
Material: LaHo2Pt
Method: DFT, PBE
State: optimized geometry

energy above the lowest structure with this stoichiometry	0.012	eV/atom
E_form	-2.73	eV/f.u.

Unit cell a=6.639 b=6.639 c=7.541 alpha=90.00 beta=90.00 gamma=137.00
Sites, in units of the cell vectors:
La 0.043 0.957 0.750
La 0.957 0.043 0.250
Ho 0.347 0.653 0.533
Ho 0.347 0.653 0.967
Ho 0.653 0.347 0.033
Ho 0.653 0.347 0.467
Pt 0.194 0.806 0.250
Pt 0.806 0.194 0.750